Entry 1:
A relaxed structure of TaSiN2O, computed with PBE.

POSCAR file:
```
TaSiN2O
1.0
3.6796 0.0000 0.0000
0.0000 3.6796 0.0000
0.0000 0.0000 3.3373
Ta Si N O
1 1 2 1
Direct
0.0000 0.0000 0.0000
0.5000 0.5000 0.5000
0.0000 0.5000 0.5000
0.5000 0.0000 0.5000
0.5000 0.5000 0.0000
```

ΔE_f (raw)	-0.57	eV/atom
magnetic moment	0.00	μB/atom
total DFT energy (no corrections)	-0.30675	hartree per atom

***

Entry 2:
A relaxed structure of TiSiN2O, computed with PBE.

POSCAR file:
```
TiSiN2O
1.0
3.9794 0.0000 0.0000
0.0000 3.9794 0.0000
0.0000 0.0000 3.7971
Ti Si N O
1 1 2 1
Direct
0.0000 0.0000 0.0000
0.5000 0.5000 0.5000
0.0000 0.5000 0.0000
0.5000 0.0000 0.0000
0.0000 0.0000 0.5000
```

ΔE_f (raw)	0.03	eV/atom
magnetic moment	0.15	μB/atom
total DFT energy (no corrections)	-0.25565	hartree per atom

***

Entry 3:
A relaxed structure of TiSiNO2, computed with PBE.

POSCAR file:
```
TiSiNO2
1.0
3.4589 0.0000 0.0000
0.0000 3.4589 0.0000
0.0000 0.0000 3.7171
Ti Si N O
1 1 1 2
Direct
0.0000 0.0000 0.0000
0.5000 0.5000 0.5000
0.5000 0.5000 0.0000
0.0000 0.5000 0.5000
0.5000 0.0000 0.5000
```

ΔE_f (raw)	-1.51	eV/atom
magnetic moment	0.20	μB/atom
total DFT energy (no corrections)	-0.28752	hartree per atom

***

Entry 4:
A relaxed structure of TiSiN2O, computed with PBE.

POSCAR file:
```
TiSiN2O
1.0
3.6069 0.0000 0.0000
0.0000 3.6069 0.0000
0.0000 0.0000 3.4244
Ti Si N O
1 1 2 1
Direct
0.0000 0.0000 0.0000
0.5000 0.5000 0.5000
0.0000 0.5000 0.5000
0.5000 0.0000 0.5000
0.5000 0.5000 0.0000
```

ΔE_f (raw)	-0.87	eV/atom
magnetic moment	0.00	μB/atom
total DFT energy (no corrections)	-0.28886	hartree per atom

***

Entry 5:
A relaxed structure of TiSiNO2, computed with PBE.

POSCAR file:
```
TiSiNO2
1.0
3.7951 0.0000 0.0000
0.0000 3.7951 0.0000
0.0000 0.0000 4.1022
Ti Si N O
1 1 1 2
Direct
0.0000 0.0000 0.0000
0.5000 0.5000 0.5000
0.0000 0.0000 0.5000
0.0000 0.5000 0.0000
0.5000 0.0000 0.0000
```

ΔE_f (raw)	-0.85	eV/atom
magnetic moment	0.11	μB/atom
total DFT energy (no corrections)	-0.26310	hartree per atom

***

Entry 6:
A relaxed structure of TlSiN2O, computed with PBE.

POSCAR file:
```
TlSiN2O
1.0
4.3146 0.0000 0.0000
0.0000 4.3146 0.0000
0.0000 0.0000 4.2925
Tl Si N O
1 1 2 1
Direct
0.0000 0.0000 0.0000
0.5000 0.5000 0.5000
0.0000 0.5000 0.0000
0.5000 0.0000 0.0000
0.0000 0.0000 0.5000
```

ΔE_f (raw)	1.90	eV/atom
magnetic moment	0.43	μB/atom
total DFT energy (no corrections)	-0.14631	hartree per atom

***

Entry 7:
A relaxed structure of TlSiN2O, computed with PBE.

POSCAR file:
```
TlSiN2O
1.0
3.8303 0.0000 0.0000
0.0000 3.8303 0.0000
0.0000 0.0000 3.5383
Tl Si N O
1 1 2 1
Direct
0.0000 0.0000 0.0000
0.5000 0.5000 0.5000
0.0000 0.5000 0.5000
0.5000 0.0000 0.5000
0.5000 0.5000 0.0000
```

ΔE_f (raw)	0.11	eV/atom
magnetic moment	0.00	μB/atom
total DFT energy (no corrections)	-0.21185	hartree per atom

***

What is the magnetic moment in the first record?
0.00 μB/atom

***

Which value of total DFT energy (no corrections) does entry 1 give?
-0.30675 hartree per atom

***

Which formula does entry 1 have?
TaSiN2O

***

What is the formula in the sixth record?
TlSiN2O